(A)
Hf4FeTc: optimized geometry, GGA-PBE.

```
Hf4FeTc
1.0
-1.444 1.981 2.148
-2.739 -1.751 -0.227
3.243 -6.081 7.788
Hf Fe Tc
4 1 1
direct
0.000 0.000 0.355
0.500 0.500 0.848
0.000 0.000 0.645
0.500 0.500 0.152
0.500 0.500 0.500
0.000 0.000 0.000
```

## Properties
V   18.4 A^3/atom
Space-group type   P4/mmm, No. 123

---

(B)
Hf4FeTc: optimized geometry, GGA-PBE.

```
Hf4FeTc
1.0
4.468 0.000 0.000
2.234 3.870 0.224
2.234 0.877 7.214
Tc Hf Fe
1 4 1
direct
0.500 0.500 0.500
0.372 0.372 0.884
0.628 0.628 0.116
0.122 0.122 0.634
0.878 0.878 0.366
0.000 0.000 0.000
```

## Properties
V   20.6 A^3/atom
Space-group type   C2/m, No. 12

---

If we sort the structures by their calculated energies, the order from most to least stable is (A), (B).

---

(A)
HfTi2Fe2: optimized geometry, GGA-PBE.

```
HfTi2Fe2
1.0
2.953 0.000 0.000
0.000 2.939 0.557
0.000 -0.187 9.022
Ti Hf Fe
2 1 2
direct
0.000 0.174 0.653
0.000 0.826 0.347
0.000 0.000 0.000
0.500 0.596 0.809
0.500 0.404 0.191
```

## Properties
V   15.7 A^3/atom
Space-group type   Cmmm, No. 65

---

(B)
HfTi2Fe2: optimized geometry, GGA-PBE.

```
HfTi2Fe2
1.0
7.074 0.000 0.000
0.000 7.074 0.000
0.000 0.000 3.008
Hf Ti Fe
2 4 4
direct
0.000 0.000 0.000
0.500 0.500 0.000
0.650 0.850 0.500
0.350 0.150 0.500
0.150 0.650 0.500
0.850 0.350 0.500
0.140 0.360 0.000
0.860 0.640 0.000
0.640 0.140 0.000
0.360 0.860 0.000
```

## Properties
V   15.1 A^3/atom
Space-group type   P4/mbm, No. 127

---

If we sort the structures by their calculated energies, the order from most to least stable is (B), (A).

---

(A)
Hf2Ti2Fe: optimized geometry, GGA-PBE.

```
Hf2Ti2Fe
1.0
6.159 0.000 0.000
0.000 6.159 0.000
0.000 0.000 4.755
Fe Hf Ti
2 4 4
direct
0.500 0.500 0.000
0.000 0.000 0.000
0.665 0.835 0.500
0.335 0.165 0.500
0.835 0.335 0.500
0.165 0.665 0.500
0.655 0.155 0.000
0.155 0.345 0.000
0.845 0.655 0.000
0.345 0.845 0.000
```

## Properties
V   18.0 A^3/atom
Space-group type   P4/mbm, No. 127

---

(B)
Hf2Ti2Fe: optimized geometry, GGA-PBE.

```
Hf2Ti2Fe
1.0
4.296 0.000 0.000
0.000 4.296 0.000
-2.148 -2.148 10.055
Hf Ti Fe
4 4 2
direct
0.677 0.677 0.354
0.323 0.323 0.646
0.427 0.927 0.854
0.073 0.573 0.146
0.824 0.824 0.648
0.926 0.426 0.852
0.574 0.074 0.148
0.176 0.176 0.352
0.500 0.500 0.000
0.250 0.750 0.500
```

## Properties
V   18.6 A^3/atom
Space-group type   I4_1/amd, No. 141

---

If we sort the structures by their calculated energies, the order from most to least stable is (A), (B).

---

(A)
HfTiFe: optimized geometry, GGA-PBE.

```
HfTiFe
1.0
-1.696 -3.340 -3.437
3.195 3.649 -1.524
3.117 -1.896 3.540
Fe Hf Ti
2 2 2
direct
0.500 0.000 0.000
0.000 0.500 0.000
0.750 0.886 0.636
0.250 0.114 0.364
0.500 0.500 0.000
0.000 0.500 0.500
```

## Properties
V   16.1 A^3/atom
Space-group type   Imma, No. 74

---

(B)
HfTiFe: optimized geometry, GGA-PBE.

```
HfTiFe
1.0
6.213 0.000 0.000
3.106 6.945 -0.493
3.106 1.848 6.713
Ti Hf Fe
6 6 6
direct
0.256 0.250 0.750
0.591 0.167 0.167
0.924 0.333 0.333
0.591 0.667 0.667
0.256 0.750 0.250
0.924 0.833 0.833
0.257 0.490 0.990
0.736 0.010 0.510
0.776 0.750 0.250
0.257 0.990 0.490
0.736 0.510 0.010
0.776 0.250 0.750
0.018 0.620 0.620
0.257 0.380 0.380
0.257 0.880 0.880
0.018 0.120 0.120
0.496 0.500 0.500
0.496 0.000 0.000
```

## Properties
V   16.4 A^3/atom
Space-group type   Amm2, No. 38

---

(C)
HfTiFe: optimized geometry, GGA-PBE.

```
HfTiFe
1.0
-2.782 2.842 0.122
-1.730 -3.583 0.012
2.630 -1.256 3.519
Fe Hf Ti
1 1 1
direct
0.461 0.214 0.675
0.934 0.477 0.412
0.938 0.975 0.914
```

## Properties
V   17.9 A^3/atom
Space-group type   R3m, No. 160

---

If we sort the structures by their calculated energies, the order from most to least stable is (A), (B), (C).

---

(A)
Hf4TlFe: optimized geometry, GGA-PBE.

```
Hf4TlFe
1.0
5.449 -0.488 0.000
-2.016 7.837 0.000
-1.717 -3.675 6.056
Hf Fe Tl
8 2 2
direct
0.374 0.937 0.653
0.779 0.717 0.653
0.048 0.188 0.838
0.221 0.283 0.347
0.290 0.650 0.838
0.626 0.063 0.347
0.710 0.350 0.162
0.952 0.812 0.162
0.250 0.000 0.999
0.750 0.000 0.001
0.631 0.381 0.762
0.369 0.619 0.238
```

## Properties
V   21.1 A^3/atom
Space-group type   C2/c, No. 15

---

(B)
Hf4TlFe: optimized geometry, GGA-PBE.

```
Hf4TlFe
1.0
-3.954 3.844 0.273
-1.525 -2.003 6.107
2.672 7.041 2.976
Tl Hf Fe
2 8 2
direct
0.500 0.500 0.000
0.000 0.000 0.000
0.518 0.648 0.633
0.049 0.333 0.744
0.549 0.167 0.744
0.951 0.667 0.256
0.482 0.352 0.367
0.451 0.833 0.256
0.982 0.148 0.367
0.018 0.852 0.633
0.500 0.000 0.500
0.000 0.500 0.500
```

## Properties
V   22.7 A^3/atom
Space-group type   P2_1/c, No. 14

---

If we sort the structures by their calculated energies, the order from most to least stable is (A), (B).

---

(A)
HfTl3Fe: optimized geometry, GGA-PBE.

```
HfTl3Fe
1.0
-4.863 -0.095 2.711
-2.648 -1.045 -4.786
0.590 -5.469 0.868
Hf Tl Fe
1 3 1
direct
0.000 0.000 0.000
0.000 0.500 0.000
0.500 0.000 0.000
0.000 0.000 0.500
0.500 0.500 0.500
```

## Properties
V   34.5 A^3/atom
Space-group type   Pm-3m, No. 221

---

(B)
HfTl3Fe: optimized geometry, GGA-PBE.

```
HfTl3Fe
1.0
5.003 0.000 0.000
0.000 5.003 0.000
0.000 0.000 5.003
Tl Hf Fe
3 1 1
direct
0.000 0.000 0.500
0.000 0.500 0.000
0.500 0.000 0.000
0.500 0.500 0.500
0.000 0.000 0.000
```

## Properties
V   25.1 A^3/atom
Space-group type   Pm-3m, No. 221

---

If we sort the structures by their calculated energies, the order from most to least stable is (B), (A).

---

(A)
Hf2TlFe: optimized geometry, GGA-PBE.

```
Hf2TlFe
1.0
0.000 3.390 3.390
3.390 0.000 3.390
3.390 3.390 0.000
Fe Hf Tl
1 2 1
direct
0.000 0.000 0.000
0.750 0.750 0.750
0.250 0.250 0.250
0.500 0.500 0.500
```

## Properties
V   19.5 A^3/atom
Space-group type   Fm-3m, No. 225

---

(B)
Hf2TlFe: optimized geometry, GGA-PBE.

```
Hf2TlFe
1.0
-3.091 1.207 -0.150
-1.977 -0.808 -2.545
-4.537 -6.620 3.459
Tl Hf Fe
1 2 1
direct
0.500 0.500 0.500
0.732 0.732 0.805
0.268 0.268 0.195
0.000 0.000 0.000
```

## Properties
V   20.4 A^3/atom
Space-group type   R-3m, No. 166

---

If we sort the structures by their calculated energies, the order from most to least stable is (B), (A).

---

(A)
Hf3TlFe: optimized geometry, GGA-PBE.

```
Hf3TlFe
1.0
-1.436 4.198 1.823
-1.176 -2.185 4.105
4.423 0.782 1.683
Fe Tl Hf
1 1 3
direct
0.000 0.000 0.000
0.500 0.500 0.500
0.000 0.000 0.500
0.000 0.500 0.000
0.500 0.000 0.000
```

## Properties
V   22.1 A^3/atom
Space-group type   Pm-3m, No. 221

---

(B)
Hf3TlFe: optimized geometry, GGA-PBE.

```
Hf3TlFe
1.0
3.470 0.000 0.000
0.000 7.901 -3.844
0.000 -1.045 8.040
Tl Hf Fe
2 6 2
direct
0.250 0.710 0.878
0.750 0.290 0.122
0.750 0.707 0.193
0.250 0.603 0.437
0.750 0.397 0.563
0.750 0.927 0.740
0.250 0.293 0.807
0.250 0.073 0.260
0.750 0.087 0.516
0.250 0.913 0.484
```

## Properties
V   20.6 A^3/atom
Space-group type   P2_1/m, No. 11

---

If we sort the structures by their calculated energies, the order from most to least stable is (B), (A).